# 1
The following is a DFT calculation (PBE-GGA) of a relaxed CeGdTc4 crystal.

Lattice parameters (Å, degrees): 7.682 7.682 7.682 90.00 90.00 90.00
Space group F-43m (No. 216)
Symmetry-distinct sites (fractional):
1 Ce 0.000 0.000 0.000 [4 per cell]
2 Gd 0.250 0.250 0.750 [4 per cell]
3 Tc 0.125 0.125 0.375 [16 per cell]

Summary:
- theoretical density (g cm⁻³) = 10.10
- calculated volume (Å³/f.u.) = 113.3
- total energy (eV/atom) = -10.290

# 2
The following is a DFT calculation (PBE-GGA) of a relaxed Ce2GdTc crystal.

Lattice parameters (Å, degrees): 5.156 5.156 3.578 90.00 90.00 90.00
Space group P4/mmm (No. 123)
Symmetry-distinct sites (fractional):
1 Ce 0.000 0.500 0.000 [2 per cell]
2 Gd 0.000 0.000 0.500 [1 per cell]
3 Tc 0.500 0.500 0.500 [1 per cell]

Summary:
- polymorph energy (0 for the lowest one) (meV per atom) = 118
- theoretical density (g cm⁻³) = 9.35
- calculated volume (Å³/f.u.) = 95.1

# 3
The following is a DFT calculation (PBE-GGA) of a relaxed Ce2GdTc crystal.

Lattice parameters (Å, degrees): 7.268 7.268 7.268 90.00 90.00 90.00
Space group Fm-3m (No. 225)
Symmetry-distinct sites (fractional):
1 Ce 0.250 0.250 0.250 [8 per cell]
2 Gd 0.000 0.000 0.000 [4 per cell]
3 Tc 0.000 0.000 0.500 [4 per cell]

Summary:
- polymorph energy (0 for the lowest one) (meV per atom) = 72
- theoretical density (g cm⁻³) = 9.26
- calculated volume (Å³/f.u.) = 96.0

# 4
The following is a DFT calculation (PBE-GGA) of a relaxed Ce2GdTc crystal.

Lattice parameters (Å, degrees): 4.7426 4.7426 15.0686 90.00 90.00 120.00
Space group R-3m (No. 166, hexagonal axes)
Symmetry-distinct sites (fractional):
1 Ce 0.0000 0.0000 0.2350 [6 per cell]
2 Gd 0.0000 0.0000 0.0000 [3 per cell]
3 Tc 0.0000 0.0000 0.5000 [3 per cell]

Summary:
- polymorph energy (0 for the lowest one) (meV per atom) = 0
- theoretical density (g cm⁻³) = 9.09
- calculated volume (Å³/f.u.) = 97.8